# 1
A relaxed structure of CuI. Source: Alexandria, functional PBE.

Calculated volume: 35.1 A^3/atom
SG: No. 223

abc: 7.4970 7.4970 7.4970
angles: 90.00 90.00 90.00
Positions (direct):
Cu (0.0000, 0.2500, 0.5000)
Cu (0.0000, 0.7500, 0.5000)
Cu (0.2500, 0.5000, 0.0000)
Cu (0.5000, 0.0000, 0.2500)
Cu (0.5000, 0.0000, 0.7500)
Cu (0.7500, 0.5000, 0.0000)
I (0.0000, 0.5000, 0.2500)
I (0.0000, 0.5000, 0.7500)
I (0.2500, 0.0000, 0.5000)
I (0.5000, 0.2500, 0.0000)
I (0.5000, 0.7500, 0.0000)
I (0.7500, 0.0000, 0.5000)

---

# 2
A relaxed structure of KLiTa2. Source: Alexandria, functional PBE.

Formation energy: 1.2091 eV per atom
Calculated volume: 22.8 A^3/atom
DOS at the Fermi energy: 0.840 states/eV per atom
SG: No. 122
Energy above the lowest structure with this stoichiometry: 0.6236 eV per atom

abc: 3.8634 3.8634 24.4889
angles: 90.00 90.00 90.00
Positions (direct):
K (0.0000, 0.0000, 0.0000)
K (0.0000, 0.5000, 0.2500)
K (0.5000, 0.0000, 0.7500)
K (0.5000, 0.5000, 0.5000)
Li (0.0000, 0.0000, 0.5000)
Li (0.0000, 0.5000, 0.7500)
Li (0.5000, 0.0000, 0.2500)
Li (0.5000, 0.5000, 0.0000)
Ta (0.2396, 0.2500, 0.6250)
Ta (0.2500, 0.7396, 0.8750)
Ta (0.2500, 0.7604, 0.3750)
Ta (0.2604, 0.2500, 0.1250)
Ta (0.7396, 0.7500, 0.1250)
Ta (0.7500, 0.2396, 0.3750)
Ta (0.7500, 0.2604, 0.8750)
Ta (0.7604, 0.7500, 0.6250)

---

# 3
A relaxed structure of Be2Pt3Au. Source: Alexandria, functional PBE.

Formation energy: -0.5552 eV per atom
Calculated volume: 13.3 A^3/atom
DOS at the Fermi energy: 0.397 states/eV per atom
SG: No. 123

abc: 2.8250 2.8250 10.0278
angles: 90.00 90.00 90.00
Positions (direct):
Be (0.0000, 0.0000, 0.1493)
Be (0.0000, 0.0000, 0.8507)
Pt (0.5000, 0.5000, 0.0000)
Pt (0.5000, 0.5000, 0.2818)
Pt (0.5000, 0.5000, 0.7182)
Au (0.0000, 0.0000, 0.5000)

---

| no. | total DFT energy (no corrections) (eV/atom) | spin magnetization (μB per atom) |
| --- | --- | --- |
| 1 | -2.882 | 0.0000 |
| 2 | -5.470 | 0.0000 |
| 3 | -5.364 | 0.0000 |